Record 1
## Ba3Tb3NdSe8 (PBE-GGA)

Data for Ba3Tb3NdSe8 after structural relaxation.

## Properties
Calculated total energy   -5.414 eV/atom
Uncorrected formation energy   -1.927 eV per atom
DOS at the Fermi energy   3.71 states/eV/f.u.
Space group   No. 166

Cell: 8.500 8.501 8.980 Å, 118.25 90.00 120.00°
Fractional coordinates of all 15 atoms:
Ba 0.000 0.000 0.000
Ba 0.000 0.500 0.000
Ba 0.500 0.500 0.000
Tb 0.500 0.000 0.500
Tb 0.500 0.500 0.500
Tb 0.000 0.500 0.500
Nd 0.000 0.000 0.500
Se 0.262 0.523 0.286
Se 0.738 0.477 0.714
Se 0.757 0.514 0.284
Se 0.243 0.486 0.716
Se 0.757 0.027 0.284
Se 0.243 0.973 0.716
Se 0.271 0.027 0.284
Se 0.729 0.973 0.716

Record 2
## Ba2NdTlSe4 (PBE-GGA)

Data for Ba2NdTlSe4 after structural relaxation.

## Properties
Calculated total energy   -4.761 eV/atom
Uncorrected formation energy   -1.646 eV per atom
Space group   No. 10

Cell: 4.567 7.756 8.079 Å, 71.14 90.00 90.00°
Fractional coordinates of all 8 atoms:
Ba 0.000 0.000 0.000
Ba 0.500 0.000 0.500
Nd 0.000 0.500 0.500
Tl 0.500 0.500 0.000
Se 0.000 0.736 0.729
Se 0.000 0.264 0.271
Se 0.500 0.727 0.274
Se 0.500 0.273 0.726

Record 3
## BaNdTm4Se8 (PBE-GGA)

Data for BaNdTm4Se8 after structural relaxation.

## Properties
Calculated total energy   -5.493 eV/atom
Uncorrected formation energy   -1.746 eV per atom
DOS at the Fermi energy   4.48 states/eV/f.u.
Space group   No. 160

Cell: 8.511 8.511 8.652 Å, 60.54 60.54 60.00°
Fractional coordinates of all 14 atoms:
Ba 0.371 0.371 0.887
Nd 0.002 0.002 0.993
Tm 0.626 0.626 0.123
Tm 0.001 0.496 0.502
Tm 0.496 0.001 0.502
Tm 0.001 0.001 0.502
Se 0.241 0.800 0.719
Se 0.800 0.241 0.719
Se 0.241 0.241 0.719
Se 0.231 0.231 0.308
Se 0.750 0.233 0.267
Se 0.233 0.750 0.267
Se 0.750 0.750 0.267
Se 0.757 0.757 0.728

Record 4
## Ba3Nd3TmSe8 (PBE-GGA)

Data for Ba3Nd3TmSe8 after structural relaxation.

## Properties
Calculated total energy   -5.428 eV/atom
Uncorrected formation energy   -1.933 eV per atom
DOS at the Fermi energy   3.80 states/eV/f.u.
Space group   No. 166

Cell: 8.617 8.616 9.060 Å, 118.39 90.00 120.00°
Fractional coordinates of all 15 atoms:
Ba 0.000 0.000 0.000
Ba 0.000 0.500 0.000
Ba 0.500 0.500 0.000
Nd 0.500 0.000 0.500
Nd 0.500 0.500 0.500
Nd 0.000 0.500 0.500
Tm 0.000 0.000 0.500
Se 0.259 0.518 0.277
Se 0.741 0.482 0.723
Se 0.768 0.536 0.287
Se 0.232 0.464 0.713
Se 0.768 0.019 0.287
Se 0.232 0.981 0.713
Se 0.251 0.019 0.287
Se 0.749 0.981 0.713